No. 1
Crystalline TbHo2Tl4 at its relaxed geometry, computed with PBE.

```
7
Lattice="4.8696 0.0000 0.0000 2.4348 4.2172 0.0000 2.4348 1.4057 10.1063" Properties=species:S:1:pos:R:3 pbc="T T T"
Tl 7.3043 4.2172 7.3572
Tl 4.8695 2.8114 1.4903
Tl 4.8696 2.8114 8.6161
Ho 7.3043 4.2172 3.9251
Tl 2.4348 1.4057 2.7491
Tb 0.0000 0.0000 0.0000
Ho 2.4348 1.4057 6.1812
```

## Properties
DFT formation energy   -0.08 eV/atom
Relative energy among the computed polymorphs   143 meV/atom
N(E_F)   4.79 states/eV/cell
Final energy   -23.8 eV/cell

---

No. 2
Crystalline PWAu2 at its relaxed geometry, computed with PBE.

```
4
Lattice="3.4316 -2.7204 1.1121 2.4021 0.8073 3.7405 -0.3662 -2.7587 3.5593" Properties=species:S:1:pos:R:3 pbc="T T T"
Au 1.3669 -1.1679 2.1030
P 2.7337 -2.3359 4.2059
W 4.1006 -3.5038 6.3089
Au 0.0000 0.0000 0.0000
```

## Properties
DFT formation energy   0.54 eV/atom
Relative energy among the computed polymorphs   430 meV/atom
N(E_F)   1.61 states/eV/cell
Final energy   -22.8 eV/cell

---

Number 2 is which compound? PWAu2